No. 1
The following is a DFT calculation (PBE) of a relaxed Ca2OsC crystal.

CIF file:
```
data_Ca2OsC
_cell_length_a 9.971
_cell_length_b 9.971
_cell_length_c 3.891
_cell_angle_alpha 90.00
_cell_angle_beta 90.00
_cell_angle_gamma 90.00
_space_group_name_H-M_alt 'I -4 2 d'
_space_group_IT_number 122
_space_group_name_Hall 'I -4 2bw'
loop_
_atom_site_label
_atom_site_type_symbol
_atom_site_fract_x
_atom_site_fract_y
_atom_site_fract_z
_atom_site_occupancy
Ca1 Ca 0.062 0.250 0.125 1
Os1 Os 0.000 0.000 0.500 1
C1 C 0.000 0.000 0.000 1
```

Results
Spin magnetization (μB per formula unit): 0.00
E_tot (eV/atom): -6.02
Formation energy from the elements (eV per atom): 0.093



No. 2
The following is a DFT calculation (PBE) of a relaxed Cu4HgRh crystal.

CIF file:
```
data_Cu4HgRh
_cell_length_a 6.915
_cell_length_b 6.915
_cell_length_c 6.915
_cell_angle_alpha 90.00
_cell_angle_beta 90.00
_cell_angle_gamma 90.00
_space_group_name_H-M_alt 'F -4 3 m'
_space_group_IT_number 216
_space_group_name_Hall 'F -4 2 3'
loop_
_atom_site_label
_atom_site_type_symbol
_atom_site_fract_x
_atom_site_fract_y
_atom_site_fract_z
_atom_site_occupancy
Cu1 Cu 0.125 0.125 0.125 1
Hg1 Hg 0.250 0.250 0.750 1
Rh1 Rh 0.000 0.000 0.500 1
```

Results
Spin magnetization (μB per formula unit): 0.00
E_tot (eV/atom): -3.89
Formation energy from the elements (eV per atom): 0.116



No. 3
The following is a DFT calculation (PBE) of a relaxed TaTi4Ge2 crystal.

CIF file:
```
data_TaTi4Ge2
_cell_length_a 6.993
_cell_length_b 5.219
_cell_length_c 7.344
_cell_angle_alpha 90.00
_cell_angle_beta 117.77
_cell_angle_gamma 90.00
_space_group_name_H-M_alt 'P 1 21/m 1'
_space_group_IT_number 11
_space_group_name_Hall '-P 2yb'
loop_
_atom_site_label
_atom_site_type_symbol
_atom_site_fract_x
_atom_site_fract_y
_atom_site_fract_z
_atom_site_occupancy
Ta1 Ta 0.117 0.250 0.345 1
Ti1 Ti 0.167 0.750 0.083 1
Ti2 Ti 0.324 0.504 0.782 1
Ti3 Ti 0.453 0.750 0.503 1
Ge1 Ge 0.059 0.750 0.397 1
Ge2 Ge 0.289 0.250 0.092 1
```

Results
Spin magnetization (μB per formula unit): 0.00
E_tot (eV/atom): -7.80
Formation energy from the elements (eV per atom): -0.274



No. 4
The following is a DFT calculation (PBE) of a relaxed LiPuRhO6 crystal.

CIF file:
```
data_LiPuRhO6
_cell_length_a 4.789
_cell_length_b 4.789
_cell_length_c 9.286
_cell_angle_alpha 90.00
_cell_angle_beta 90.00
_cell_angle_gamma 90.00
_space_group_name_H-M_alt 'P 42 n m'
_space_group_IT_number 102
_space_group_name_Hall 'P 4n -2n'
loop_
_atom_site_label
_atom_site_type_symbol
_atom_site_fract_x
_atom_site_fract_y
_atom_site_fract_z
_atom_site_occupancy
Li1 Li 0.000 0.000 0.000 1
Pu1 Pu 0.000 0.000 0.667 1
Rh1 Rh 0.000 0.000 0.330 1
O1 O 0.188 0.188 0.497 1
O2 O 0.198 0.198 0.174 1
O3 O 0.203 0.203 0.826 1
```

Results
Spin magnetization (μB per formula unit): 0.01
E_tot (eV/atom): -7.60
Uncorrected formation energy (meV per atom): -1671